Density functional theory data (PBE-GGA) for a geometry-optimized LiMg2Cl structure.

Cell: 5.277 5.277 3.248 Å, 90.00 90.00 90.00°
Space group P4/mmm (No. 123)
Symmetry-distinct sites (fractional):
Li1 0.000 0.000 0.000
Mg1 0.000 0.500 0.500
Cl1 0.500 0.500 0.000

Output
The formation energy without anion corrections is -26.3 kJ/mol of atoms. As for the total magnetization: 0.00 μB per cell. The excess energy over the best structure of this formula in the dataset is 353 meV per atom.